Here is a geometry-optimized Ce2Pa3S8 structure from the Alexandria database. Energies are from GGA-PBE.

Cell: 8.2077 8.2077 4.7480 Å, 90.00 90.00 109.95°
With the nearest neighbours (Å) after each atom.
Element x y z (fractional)
1 Ce 0.2328 0.7672 0.0000  8 S 2.80-3.14
2 Ce 0.7672 0.2328 0.0000  8 S 2.80-3.14
3 Pa 0.2323 0.2323 0.5000  8 S 2.74-2.96
4 Pa 0.5000 0.5000 0.0000  8 S 2.77-2.83
5 Pa 0.7677 0.7677 0.5000  8 S 2.74-2.96
6 S 0.1224 0.8776 0.5000  2 Pa 2.74, 2 Ce 2.80
7 S 0.1412 0.3788 0.0000  3 Pa 2.77-2.87, 2 Ce 2.89-3.02
8 S 0.3788 0.1412 0.0000  3 Pa 2.77-2.87, 2 Ce 2.89-3.02
9 S 0.3851 0.6149 0.5000  4 Pa 2.83-2.96, 1 S 3.09, 2 Ce 3.14
10 S 0.6149 0.3851 0.5000  4 Pa 2.83-2.96, 1 S 3.09, 2 Ce 3.14
11 S 0.6212 0.8588 0.0000  3 Pa 2.77-2.87, 2 Ce 2.89-3.02
12 S 0.8588 0.6212 0.0000  3 Pa 2.77-2.87, 2 Ce 2.89-3.02
13 S 0.8776 0.1224 0.5000  2 Pa 2.74, 2 Ce 2.80

Calculated values
Crystal system = orthorhombic
E_form (uncorrected) = -1.7107 eV/atom
Excess energy over the best structure of this formula in the dataset = 0.0 kJ/mol of formula units